Entry from Alexandria: a relaxed KBaSiRh2 crystal (PBE).

The value obtained for the energy is -4.48 eV per atom. The value obtained for the total magnetic moment is 0.00 μB/f.u.

It has space group P4/mmm (No. 123), with a = 4.649 Å, b = 4.649 Å, c = 5.869 Å, α = 90.00°, β = 90.00° and γ = 90.00°. The distinct sites, in fractional coordinates, are K at (0.000, 0.000, 0.000), Ba at (0.500, 0.500, 0.000), Si at (0.500, 0.500, 0.500) and Rh at (0.000, 0.500, 0.500).